No. 1
Computed, not measured: crystalline Sr8As5I at its relaxed geometry at the PBE-GGA level of DFT.

Cell lengths 8.335, 8.335, 8.335 Å; angles 109.15, 110.11, 109.15 degrees
Element x y z (fractional)
Sr1 0.113 0.759 0.024
Sr2 0.976 0.089 0.735
Sr3 0.736 0.240 0.363
Sr4 0.637 0.372 0.877
Sr5 0.505 0.628 0.264
Sr6 0.646 0.911 0.887
Sr7 0.265 0.241 0.354
Sr8 0.123 0.760 0.495
As1 0.014 0.381 0.126
As2 0.874 0.888 0.255
As3 0.745 0.619 0.633
As4 0.500 0.000 0.500
As5 0.367 0.112 0.986
I1 0.250 0.500 0.750

## Properties
ΔE_f (raw): -1.2184 eV per atom
raw total energy: -3.951 eV per atom

---

No. 2
Computed, not measured: crystalline CdAgN2O at its relaxed geometry at the PBE-GGA level of DFT.

Cell lengths 4.066, 4.066, 4.278 Å; angles 90.00, 90.00, 90.00 degrees
Element x y z (fractional)
N1 0.000 0.500 0.000
N2 0.500 0.000 0.000
O1 0.000 0.000 0.500
Ag1 0.000 0.000 0.000
Cd1 0.500 0.500 0.500

## Properties
ΔE_f (raw): 1.5299 eV per atom
raw total energy: -3.545 eV per atom

---

No. 3
Computed, not measured: crystalline NaLiBr2 at its relaxed geometry at the PBE-GGA level of DFT.

Cell lengths 4.316, 7.626, 7.806 Å; angles 80.87, 90.01, 73.62 degrees
Element x y z (fractional)
Na1 0.610 0.478 0.000
Na2 0.845 0.999 0.710
Li1 0.361 0.970 0.236
Li2 0.103 0.489 0.482
Br1 0.186 0.324 0.216
Br2 0.924 0.844 0.397
Br3 0.650 0.394 0.655
Br4 0.408 0.874 0.938

## Properties
ΔE_f (raw): -1.5170 eV per atom
raw total energy: -3.162 eV per atom
energy relative to the lowest polymorph listed for this composition: 0.008 eV/atom

---

No. 4
Computed, not measured: crystalline BaInMo at its relaxed geometry at the PBE-GGA level of DFT.

Cell lengths 4.850, 4.850, 4.866 Å; angles 90.00, 90.00, 120.00 degrees
Element x y z (fractional)
Ba1 0.000 0.000 0.000
In1 0.667 0.333 0.500
Mo1 0.333 0.667 0.500

## Properties
formation enthalpy at 0 K: 674.9 meV/atom
raw total energy: -4.489 eV per atom
energy relative to the lowest polymorph listed for this composition: 0.058 eV/atom

---

Number 1: magnetization 0.0000 μB/atom. Number 2: magnetization 0.4953 μB/atom. Number 3: magnetization 0.0000 μB/atom. Number 4: magnetization 0.8303 μB/atom.